The following is a DFT calculation (PBE) of a relaxed structure of RbGaAs.

Results
The value obtained for the density is 4.14 g/cm³. As for the calculated formation energy: -0.35 eV/atom. As for the energy: -3.23 eV/atom. The size of the total moment comes out at 0.000 μB/atom. Its space-group type is P2_1/c, No. 14. Its energy above the most stable polymorph in this dataset is 46.9 meV/atom.

a b c (Å): 5.765 8.345 7.703
angles (deg): 94.22 90.00 90.00
Fractional positions:
Ga 0.697 0.966 0.069
Ga 0.303 0.034 0.931
Ga 0.803 0.966 0.569
Ga 0.197 0.034 0.431
Rb 0.534 0.345 0.269
Rb 0.034 0.655 0.231
Rb 0.466 0.655 0.731
Rb 0.966 0.345 0.769
As 0.035 0.174 0.163
As 0.965 0.826 0.837
As 0.535 0.826 0.337
As 0.465 0.174 0.663